{
  "formula": "ScP3O",
  "functional": "PBE",
  "state": "optimized geometry",
  "volume_a3_per_atom": 23.13,
  "polymorph_energy_mev_per_atom": 1308,
  "lattice_angstrom": [[4.872, 0.000, 0.000], [0.000, 4.872, 0.000], [0.000, 0.000, 4.872]],
  "species": ["Sc", "P", "P", "P", "O"],
  "frac_coords": [[0.000, 0.000, 0.000], [0.000, 0.000, 0.500], [0.000, 0.500, 0.000], [0.500, 0.000, 0.000], [0.500, 0.500, 0.500]]
}